[1]
# PmSn2HgTe4

Crystalline PmSn2HgTe4 at its relaxed geometry (PBE, the Alexandria database).

Computed properties:
Calculated total energy = -3.73 eV per atom
ΔE_f (raw) = -12.2 kcal/mol of atoms

abc: 7.909 4.458 7.969
angles: 90.00 110.07 90.00
Element x y z (fractional)
Pm  0.000  0.000  0.000
Sn  0.500  0.000  0.500
Sn  0.500  0.500  0.000
Hg  0.000  0.500  0.500
Te  0.247  0.000  0.755
Te  0.253  0.500  0.239
Te  0.747  0.500  0.761
Te  0.753  0.000  0.245

***

[2]
# Pm2ThSn2Hg2

Crystalline Pm2ThSn2Hg2 at its relaxed geometry (PBE, the Alexandria database).

Computed properties:
Calculated total energy = -3.92 eV per atom
ΔH_f (0 K) = -0.276 eV/atom

abc: 9.718 9.718 9.718
angles: 29.86 29.86 29.86
Element x y z (fractional)
Pm  0.129  0.129  0.129
Pm  0.871  0.871  0.871
Th  0.000  0.000  0.000
Sn  0.273  0.273  0.273
Sn  0.727  0.727  0.727
Hg  0.427  0.427  0.427
Hg  0.573  0.573  0.573

***

[3]
# PmThSnHg

Crystalline PmThSnHg at its relaxed geometry (PBE, the Alexandria database).

Computed properties:
Calculated total energy = -4.56 eV per atom
ΔH_f (0 K) = -0.438 eV/atom

abc: 7.690 7.690 7.690
angles: 90.00 90.00 90.00
Element x y z (fractional)
Pm  0.000  0.000  0.000
Pm  0.000  0.500  0.500
Pm  0.500  0.000  0.500
Pm  0.500  0.500  0.000
Th  0.000  0.000  0.500
Th  0.000  0.500  0.000
Th  0.500  0.000  0.000
Th  0.500  0.500  0.500
Sn  0.250  0.250  0.750
Sn  0.250  0.750  0.250
Sn  0.750  0.250  0.250
Sn  0.750  0.750  0.750
Hg  0.250  0.250  0.250
Hg  0.250  0.750  0.750
Hg  0.750  0.250  0.750
Hg  0.750  0.750  0.250

***

[4]
# PmYSnHg

Crystalline PmYSnHg at its relaxed geometry (PBE, the Alexandria database).

Computed properties:
E above lowest polymorph = 13 meV/atom
Calculated total energy = -4.46 eV per atom
ΔH_f (0 K) = -0.584 eV/atom

abc: 3.825 3.825 7.448
angles: 90.00 90.00 90.00
Element x y z (fractional)
Pm  0.000  0.000  0.000
Y  0.000  0.000  0.507
Sn  0.500  0.500  0.262
Hg  0.500  0.500  0.741